TaFeHg2 | SCAN | PBEsol geometry

Properties
The size of the total moment comes out at 1.45 μB/f.u. For the distance to the lowest polymorph of the same formula, the calculation gives 59.6 meV/atom. The value obtained for the formation enthalpy at 0 K is 0.4396 eV/atom.

Cell lengths 3.070, 4.743, 5.526 Å; angles 114.88, 106.12, 90.00 degrees
Positions (direct):
Fe 0.228 0.727 0.456
Hg 0.973 0.974 0.945
Hg 0.758 0.258 0.516
Ta 0.541 0.541 0.082